Cd3SiSe4 | PBE | optimized geometry

abc: 6.623 8.267 8.522
angles: 90.00 90.00 90.00
Fractional coordinates of all 16 atoms:
Se 0.601 0.657 0.741
Se 0.604 0.177 0.500
Se 0.104 0.823 0.000
Se 0.101 0.343 0.241
Se 0.652 0.155 0.000
Se 0.101 0.343 0.759
Se 0.601 0.657 0.259
Se 0.152 0.845 0.500
Cd 0.010 0.661 0.743
Cd 0.005 0.163 0.500
Cd 0.510 0.339 0.243
Cd 0.510 0.339 0.757
Cd 0.505 0.837 0.000
Cd 0.010 0.661 0.257
Si 0.533 0.833 0.500
Si 0.033 0.167 0.000

## Properties
- E: -3.120 eV per atom

CdSiSe2 | PBE | optimized geometry

abc: 8.054 8.054 8.054
angles: 29.65 29.65 29.65
Fractional coordinates of all 4 atoms:
Se 0.899 0.899 0.899
Se 0.101 0.101 0.101
Si 0.000 0.000 0.000
Cd 0.500 0.500 0.500

## Properties
- DOS(E_F): 0.493 states/eV/atom
- E: -3.135 eV per atom

CdSiSe | PBE | optimized geometry

abc: 4.688 4.688 4.688
angles: 60.00 60.00 60.00
Fractional coordinates of all 3 atoms:
Se 0.500 0.500 0.500
Si 0.750 0.750 0.750
Cd 0.000 0.000 0.000

## Properties
- DOS(E_F): 0.256 states/eV/atom
- E: -2.919 eV per atom

CdSiSe2 | PBE | optimized geometry

abc: 4.891 4.891 4.891
angles: 60.00 60.00 60.00
Fractional coordinates of all 4 atoms:
Se 0.000 0.000 0.000
Se 0.250 0.250 0.250
Si 0.750 0.750 0.750
Cd 0.500 0.500 0.500

## Properties
- DOS(E_F): 0.563 states/eV/atom
- E: -2.851 eV per atom

CdSiSe2 | PBE | optimized geometry

abc: 6.143 6.143 2.830
angles: 81.80 81.80 124.19
Fractional coordinates of all 4 atoms:
Cd 0.000 0.500 0.500
Se 0.500 0.500 0.000
Se 0.000 0.000 0.000
Si 0.500 0.000 0.500

## Properties
- DOS(E_F): 0.540 states/eV/atom
- E: -2.912 eV per atom

Cd2SiSe4 | PBE | optimized geometry

abc: 6.853 6.853 6.853
angles: 79.69 126.12 126.12
Fractional coordinates of all 7 atoms:
Cd 0.500 0.250 0.750
Cd 0.500 0.750 0.250
Si 0.000 0.500 0.500
Se 0.537 0.372 0.372
Se 0.000 0.165 0.628
Se 0.463 0.835 0.835
Se 0.000 0.628 0.165

## Properties
- DOS(E_F): 0.000 states/eV/atom
- E: -3.574 eV per atom